No. 1
Computed, not measured: crystalline Mg2Sc2TlAg2Hg at its relaxed geometry at the PBE level of DFT.

Calculated values
VASP energy: -26.53 eV for the cell shown

The structure in extended XYZ format:
```
8
Lattice="4.879 0.000 0.000 0.000 4.879 0.000 0.000 0.000 6.850" Properties=species:S:1:pos:R:3 pbc="T T T"
Mg 0.000 2.439 1.666
Mg 2.439 0.000 5.185
Sc 0.000 2.439 5.157
Sc 2.439 0.000 1.693
Tl 0.000 0.000 3.425
Ag 0.000 0.000 0.000
Ag 2.439 2.439 3.425
Hg 2.439 2.439 0.000
```

---

No. 2
Computed, not measured: crystalline ScFe2Pt at its relaxed geometry at the PBE level of DFT.

Calculated values
ΔE_f: -0.3597 eV per atom

The structure in extended XYZ format:
```
4
Lattice="0.000 3.091 3.091 3.091 0.000 3.091 3.091 3.091 0.000" Properties=species:S:1:pos:R:3 pbc="T T T"
Sc 0.000 0.000 0.000
Fe 1.546 1.546 1.546
Fe 3.091 3.091 3.091
Pt 4.637 4.637 4.637
```

---

No. 3
Computed, not measured: crystalline Ba3Hg4Bi2 at its relaxed geometry at the PBE level of DFT.

Calculated values
VASP energy: -20.74 eV for the cell shown

The structure in extended XYZ format:
```
9
Lattice="6.644 -2.524 0.000 6.644 2.524 0.000 -3.295 0.000 9.598" Properties=species:S:1:pos:R:3 pbc="T T T"
Ba 0.000 0.000 0.000
Ba 3.157 0.000 3.382
Ba 6.835 0.000 6.216
Hg -1.101 0.000 3.390
Hg 0.098 0.000 8.776
Hg 9.894 0.000 0.822
Hg 11.093 0.000 6.208
Bi 2.729 0.000 7.004
Bi 7.263 0.000 2.594
```

---

No. 4
Computed, not measured: crystalline TmThU at its relaxed geometry at the PBE level of DFT.

Calculated values
Energy above the lowest structure with this stoichiometry: 0.0000 eV/atom
ΔE_f: 1.1705 eV per atom

The structure in extended XYZ format:
```
3
Lattice="0.000 3.666 3.666 3.666 0.000 3.666 3.666 3.666 0.000" Properties=species:S:1:pos:R:3 pbc="T T T"
Tm 0.000 0.000 0.000
Th 3.666 3.666 3.666
U 5.499 5.499 5.499
```

---

no.,ρ (Mg/m³)
1,7.73
2,9.89
3,8.42
4,10.77